Below is a crystal of YTl2In relaxed with PBEsol, with properties calculated at the meta-GGA SCAN level.

For the formation energy, the calculation gives -0.154 eV per atom. The total energy comes out at -826.251 eV/cell. As for the size of the total moment: 0.23 μB/cell.

The structure belongs to space group F-43m (No. 216); the cell edges are 7.516, 7.516 and 7.516 Å and the angles 90.00°, 90.00° and 90.00°. The distinct sites, in fractional coordinates, are Y at (0.000, 0.000, 0.000), Tl at (0.000, 0.000, 0.500), Tl at (0.250, 0.250, 0.750) and In at (0.250, 0.250, 0.250).